[1]
BaCuRh2: optimized geometry, PBE. Values from VASP.

Cell and atoms, written as Quantum ESPRESSO input:
```
&SYSTEM
  ibrav = 0, nat = 4, ntyp = 3
/
ATOMIC_SPECIES
Rh 102.91 Rh.upf
Cu 63.55 Cu.upf
Ba 137.33 Ba.upf
ATOMIC_POSITIONS crystal
Rh 0.000 0.006 0.041
Rh 0.500 0.259 0.047
Cu 0.500 0.780 0.901
Ba 0.000 0.455 0.510
CELL_PARAMETERS angstrom
-0.402 0.523 -4.319
2.457 -3.816 -0.690
-3.785 -3.391 -0.058
```

Properties
Distance to the lowest polymorph of the same formula: 0.313 eV per atom
Magnetization: 0.6 μB per formula unit
Energy of formation: 205 meV/atom
V: 101 Å³/f.u.

***

[2]
Ho3Sc5Se12: optimized geometry, PBE. Values from VASP.

Cell and atoms, written as Quantum ESPRESSO input:
```
&SYSTEM
  ibrav = 0, nat = 80, ntyp = 3
/
ATOMIC_SPECIES
Se 78.96 Se.upf
Sc 44.96 Sc.upf
Ho 164.93 Ho.upf
ATOMIC_POSITIONS crystal
Se 0.585 0.958 0.676
Se 0.373 0.415 0.091
Se 0.824 0.915 0.042
Se 0.458 0.782 0.873
Se 0.824 0.909 0.282
Se 0.176 0.091 0.718
Se 0.591 0.873 0.415
Se 0.873 0.282 0.458
Se 0.958 0.585 0.176
Se 0.676 0.458 0.585
Se 0.958 0.373 0.282
Se 0.542 0.324 0.915
Se 0.627 0.585 0.909
Se 0.909 0.824 0.782
Se 0.627 0.042 0.218
Se 0.218 0.676 0.091
Se 0.718 0.591 0.176
Se 0.782 0.458 0.373
Se 0.324 0.782 0.409
Se 0.915 0.824 0.542
Se 0.915 0.091 0.873
Se 0.091 0.915 0.373
Se 0.909 0.085 0.627
Se 0.458 0.676 0.085
Se 0.591 0.718 0.676
Se 0.676 0.218 0.591
Se 0.542 0.218 0.127
Se 0.042 0.627 0.718
Se 0.127 0.409 0.085
Se 0.415 0.373 0.591
Se 0.585 0.627 0.409
Se 0.282 0.409 0.824
Se 0.373 0.958 0.782
Se 0.415 0.042 0.324
Se 0.718 0.127 0.042
Se 0.127 0.718 0.542
Se 0.042 0.415 0.824
Se 0.782 0.324 0.909
Se 0.091 0.176 0.218
Se 0.218 0.542 0.627
Se 0.324 0.542 0.415
Se 0.085 0.176 0.458
Se 0.409 0.127 0.585
Se 0.873 0.591 0.915
Se 0.176 0.085 0.958
Se 0.085 0.909 0.127
Se 0.282 0.873 0.958
Se 0.409 0.282 0.324
Sc 0.000 0.500 0.000
Sc 0.500 0.000 0.500
Sc 0.625 0.875 0.250
Sc 0.000 0.500 0.500
Sc 0.750 0.625 0.375
Sc 0.625 0.750 0.875
Sc 0.250 0.375 0.625
Sc 0.500 0.000 0.000
Sc 0.125 0.375 0.250
Sc 0.500 0.500 0.500
Sc 0.500 0.500 0.000
Sc 0.375 0.125 0.750
Sc 0.375 0.250 0.125
Sc 0.000 0.000 0.500
Sc 0.750 0.125 0.875
Sc 0.000 0.000 0.000
Sc 0.125 0.750 0.375
Sc 0.250 0.875 0.125
Sc 0.875 0.625 0.750
Sc 0.875 0.250 0.625
Ho 0.625 0.250 0.375
Ho 0.750 0.875 0.625
Ho 0.375 0.750 0.625
Ho 0.625 0.375 0.750
Ho 0.125 0.250 0.875
Ho 0.250 0.125 0.375
Ho 0.250 0.625 0.875
Ho 0.875 0.125 0.250
Ho 0.375 0.625 0.250
Ho 0.875 0.750 0.125
Ho 0.750 0.375 0.125
Ho 0.125 0.875 0.750
CELL_PARAMETERS angstrom
-10.215 1.327 9.598
4.077 -13.459 -0.684
10.959 8.043 3.666
```

Properties
Magnetization: 0.0 μB per formula unit
V: 537 Å³/f.u.

***

| no. | E (eV/atom) |
| --- | --- |
| 1 | -4.98 |
| 2 | -5.95 |